La4MgCd3 | GGA-PBE | optimized geometry

abc: 3.968 5.547 11.115
angles: 90.00 90.00 90.00
Positions (direct):
La  0.000  0.000  0.000
La  0.000  0.000  0.500
La  0.000  0.500  0.248
La  0.000  0.500  0.752
Mg  0.500  0.500  0.500
Cd  0.500  0.000  0.255
Cd  0.500  0.000  0.745
Cd  0.500  0.500  0.000

Calculated values
As for the total magnetization: 0.0489 μB per atom. The calculation puts the formation energy at -0.278 eV per atom. The value obtained for the density of states at the Fermi level is 10.046 states/eV/f.u.